Record 1
# DySnBi, optimized geometry, DFT PBE
# VASP energy, hartree per atom: -0.15774
data_DySnBi
_chemical_formula_sum 'Dy2 Sn2 Bi2'
_cell_length_a 3.385
_cell_length_b 3.385
_cell_length_c 16.582
_cell_angle_alpha 90.00
_cell_angle_beta 90.00
_cell_angle_gamma 90.00
_symmetry_space_group_name_H-M 'I 4 m m'
_symmetry_Int_Tables_number 107
_symmetry_space_group_name_Hall 'I 4 -2'
loop_
_atom_site_label
_atom_site_fract_x
_atom_site_fract_y
_atom_site_fract_z
Dy1 0.000 0.000 0.000
Sn1 0.000 0.000 0.377
Bi1 0.000 0.000 0.193

---

Record 2
# Dy2SnBi, optimized geometry, DFT PBE
# VASP energy, hartree per atom: -0.17895
data_Dy2SnBi
_chemical_formula_sum 'Dy2 Sn1 Bi1'
_cell_length_a 4.052
_cell_length_b 4.052
_cell_length_c 6.832
_cell_angle_alpha 90.00
_cell_angle_beta 90.00
_cell_angle_gamma 90.00
_symmetry_space_group_name_H-M 'P 4/m m m'
_symmetry_Int_Tables_number 123
_symmetry_space_group_name_Hall '-P 4 2'
loop_
_atom_site_label
_atom_site_fract_x
_atom_site_fract_y
_atom_site_fract_z
Dy1 0.000 0.000 0.246
Sn1 0.500 0.500 0.000
Bi1 0.500 0.500 0.500

---

Record 3
# Dy2SnBi, optimized geometry, DFT PBE
# VASP energy, hartree per atom: -0.18203
data_Dy2SnBi
_chemical_formula_sum 'Dy2 Sn1 Bi1'
_cell_length_a 4.316
_cell_length_b 4.565
_cell_length_c 6.262
_cell_angle_alpha 90.00
_cell_angle_beta 110.23
_cell_angle_gamma 90.00
_symmetry_space_group_name_H-M 'P 1 m 1'
_symmetry_Int_Tables_number 6
loop_
_symmetry_equiv_pos_as_xyz
'x,y,z'
'x,-y,z'
loop_
_atom_site_label
_atom_site_fract_x
_atom_site_fract_y
_atom_site_fract_z
Dy1 0.000 0.000 0.000
Dy2 0.253 0.500 0.509
Sn1 0.736 0.000 0.476
Bi1 0.524 0.500 0.048

---

Record 4
# Dy10Sn3Bi3, optimized geometry, DFT PBE
# VASP energy, hartree per atom: -0.18625
data_Dy10Sn3Bi3
_chemical_formula_sum 'Dy10 Sn3 Bi3'
_cell_length_a 9.0708
_cell_length_b 9.0708
_cell_length_c 6.4711
_cell_angle_alpha 90.00
_cell_angle_beta 90.00
_cell_angle_gamma 120.00
_symmetry_space_group_name_H-M 'P -6 2 m'
_symmetry_Int_Tables_number 189
_symmetry_space_group_name_Hall 'P -6 -2'
loop_
_atom_site_label
_atom_site_fract_x
_atom_site_fract_y
_atom_site_fract_z
Dy1 0.0000 0.2399 0.0000
Dy2 0.0000 0.7593 0.5000
Dy3 0.3333 0.6667 0.2545
Sn1 0.0000 0.3914 0.5000
Bi1 0.0000 0.6071 0.0000

---

Record 5
# Dy6Sn3Bi, optimized geometry, DFT PBE
# VASP energy, hartree per atom: -0.17808
data_Dy6Sn3Bi
_chemical_formula_sum 'Dy24 Sn12 Bi4'
_cell_length_a 10.731
_cell_length_b 15.179
_cell_length_c 7.646
_cell_angle_alpha 90.00
_cell_angle_beta 90.00
_cell_angle_gamma 90.00
_symmetry_space_group_name_H-M 'C m c 21'
_symmetry_Int_Tables_number 36
loop_
_symmetry_equiv_pos_as_xyz
'x,y,z'
'-x,-y,z+1/2'
'-x,y,z'
'x,-y,z+1/2'
'x+1/2,y+1/2,z'
'-x+1/2,-y+1/2,z+1/2'
'-x+1/2,y+1/2,z'
'x+1/2,-y+1/2,z+1/2'
loop_
_atom_site_label
_atom_site_fract_x
_atom_site_fract_y
_atom_site_fract_z
Dy1 0.000 0.017 0.000
Dy2 0.000 0.271 0.111
Dy3 0.197 0.284 0.502
Dy4 0.198 0.455 0.131
Sn1 0.000 0.428 0.415
Sn2 0.167 0.114 0.286
Bi1 0.000 0.171 0.739

---

Record 6
# Dy8Sn5Bi, optimized geometry, DFT PBE
# VASP energy, hartree per atom: -0.18632
data_Dy8Sn5Bi
_chemical_formula_sum 'Dy16 Sn10 Bi2'
_cell_length_a 9.307
_cell_length_b 9.307
_cell_length_c 9.301
_cell_angle_alpha 90.00
_cell_angle_beta 90.00
_cell_angle_gamma 90.00
_symmetry_space_group_name_H-M 'I -4'
_symmetry_Int_Tables_number 82
loop_
_symmetry_equiv_pos_as_xyz
'x,y,z'
'y,-x,-z'
'-x,-y,z'
'-y,x,-z'
'x+1/2,y+1/2,z+1/2'
'y+1/2,-x+1/2,-z+1/2'
'-x+1/2,-y+1/2,z+1/2'
'-y+1/2,x+1/2,-z+1/2'
loop_
_atom_site_label
_atom_site_fract_x
_atom_site_fract_y
_atom_site_fract_z
Dy1 0.072 0.174 0.304
Dy2 0.072 0.319 0.942
Sn1 0.000 0.000 0.000
Sn2 0.126 0.250 0.623
Bi1 0.000 0.500 0.250

---

Record 7
# DySnBi, optimized geometry, DFT PBE
# VASP energy, hartree per atom: -0.17436
data_DySnBi
_chemical_formula_sum 'Dy4 Sn4 Bi4'
_cell_length_a 4.569
_cell_length_b 16.559
_cell_length_c 4.475
_cell_angle_alpha 90.00
_cell_angle_beta 90.00
_cell_angle_gamma 90.00
_symmetry_space_group_name_H-M 'C m c m'
_symmetry_Int_Tables_number 63
_symmetry_space_group_name_Hall '-C 2c 2'
loop_
_atom_site_label
_atom_site_fract_x
_atom_site_fract_y
_atom_site_fract_z
Dy1 0.000 0.097 0.250
Sn1 0.000 0.439 0.250
Bi1 0.000 0.250 0.750

---

Record 8
# DySn2Bi, optimized geometry, DFT PBE
# VASP energy, hartree per atom: -0.16491
data_DySn2Bi
_chemical_formula_sum 'Dy1 Sn2 Bi1'
_cell_length_a 4.745
_cell_length_b 4.745
_cell_length_c 4.927
_cell_angle_alpha 90.00
_cell_angle_beta 90.00
_cell_angle_gamma 90.00
_symmetry_space_group_name_H-M 'P 4/m m m'
_symmetry_Int_Tables_number 123
_symmetry_space_group_name_Hall '-P 4 2'
loop_
_atom_site_label
_atom_site_fract_x
_atom_site_fract_y
_atom_site_fract_z
Dy1 0.000 0.000 0.000
Sn1 0.000 0.500 0.500
Bi1 0.500 0.500 0.000

---

Record 9
# Dy2SnBi, optimized geometry, DFT PBE
# VASP energy, hartree per atom: -0.18551
data_Dy2SnBi
_chemical_formula_sum 'Dy8 Sn4 Bi4'
_cell_length_a 4.518
_cell_length_b 24.046
_cell_length_c 4.366
_cell_angle_alpha 90.00
_cell_angle_beta 90.00
_cell_angle_gamma 90.00
_symmetry_space_group_name_H-M 'C m c m'
_symmetry_Int_Tables_number 63
_symmetry_space_group_name_Hall '-C 2c 2'
loop_
_atom_site_label
_atom_site_fract_x
_atom_site_fract_y
_atom_site_fract_z
Dy1 0.000 0.061 0.250
Dy2 0.000 0.320 0.250
Sn1 0.000 0.454 0.250
Bi1 0.000 0.189 0.250

---

Record 10
# Dy8SnBi2, optimized geometry, DFT PBE
# VASP energy, hartree per atom: -0.17618
data_Dy8SnBi2
_chemical_formula_sum 'Dy16 Sn2 Bi4'
_cell_length_a 18.524
_cell_length_b 5.189
_cell_length_c 6.925
_cell_angle_alpha 90.00
_cell_angle_beta 92.27
_cell_angle_gamma 90.00
_symmetry_space_group_name_H-M 'C 1 2/m 1'
_symmetry_Int_Tables_number 12
loop_
_symmetry_equiv_pos_as_xyz
'x,y,z'
'-x,-y,-z'
'-x,y,-z'
'x,-y,z'
'x+1/2,y+1/2,z'
'-x+1/2,-y+1/2,-z'
'-x+1/2,y+1/2,-z'
'x+1/2,-y+1/2,z'
loop_
_atom_site_label
_atom_site_fract_x
_atom_site_fract_y
_atom_site_fract_z
Dy1 0.030 0.000 0.250
Dy2 0.092 0.500 0.938
Dy3 0.161 0.500 0.416
Dy4 0.216 0.000 0.129
Sn1 0.000 0.500 0.500
Bi1 0.168 0.000 0.678

---

Record 11
# DySnBi, optimized geometry, DFT PBE
# VASP energy, hartree per atom: -0.16352
data_DySnBi
_chemical_formula_sum 'Dy1 Sn1 Bi1'
_cell_length_a 5.4855
_cell_length_b 5.4855
_cell_length_c 3.3259
_cell_angle_alpha 90.00
_cell_angle_beta 90.00
_cell_angle_gamma 120.00
_symmetry_space_group_name_H-M 'P 3 m 1'
_symmetry_Int_Tables_number 156
loop_
_symmetry_equiv_pos_as_xyz
'x,y,z'
'-y,x-y,z'
'-x+y,-x,z'
'-y,-x,z'
'-x+y,y,z'
'x,x-y,z'
loop_
_atom_site_label
_atom_site_fract_x
_atom_site_fract_y
_atom_site_fract_z
Dy1 0.0000 0.0000 0.0000
Sn1 0.3333 0.6667 0.5031
Bi1 0.6667 0.3333 0.5002

---

Record 12
# DySnBi, optimized geometry, DFT PBE
# VASP energy, hartree per atom: -0.15598
data_DySnBi
_chemical_formula_sum 'Dy4 Sn4 Bi4'
_cell_length_a 8.210
_cell_length_b 8.210
_cell_length_c 5.903
_cell_angle_alpha 90.00
_cell_angle_beta 90.00
_cell_angle_gamma 90.00
_symmetry_space_group_name_H-M 'P 42/m m c'
_symmetry_Int_Tables_number 131
_symmetry_space_group_name_Hall '-P 4c 2'
loop_
_atom_site_label
_atom_site_fract_x
_atom_site_fract_y
_atom_site_fract_z
Dy1 0.000 0.291 0.000
Sn1 0.000 0.230 0.500
Bi1 0.257 0.500 0.500

---

Record 13
# DySn2Bi, optimized geometry, DFT PBE
# VASP energy, hartree per atom: -0.13953
data_DySn2Bi
_chemical_formula_sum 'Dy3 Sn6 Bi3'
_cell_length_a 5.0789
_cell_length_b 5.0789
_cell_length_c 23.3006
_cell_angle_alpha 90.00
_cell_angle_beta 90.00
_cell_angle_gamma 120.00
_symmetry_space_group_name_H-M 'R -3 m'
_symmetry_Int_Tables_number 166
_symmetry_space_group_name_Hall '-R 3 2"'
loop_
_atom_site_label
_atom_site_fract_x
_atom_site_fract_y
_atom_site_fract_z
Dy1 0.0000 0.0000 0.0000
Sn1 0.0000 0.0000 0.3767
Bi1 0.0000 0.0000 0.5000

---

Record 14
# Dy2SnBi, optimized geometry, DFT PBE
# VASP energy, hartree per atom: -0.17849
data_Dy2SnBi
_chemical_formula_sum 'Dy6 Sn3 Bi3'
_cell_length_a 4.2477
_cell_length_b 4.2477
_cell_length_c 24.0506
_cell_angle_alpha 90.00
_cell_angle_beta 90.00
_cell_angle_gamma 120.00
_symmetry_space_group_name_H-M 'R 3 m'
_symmetry_Int_Tables_number 160
_symmetry_space_group_name_Hall 'R 3 -2"'
loop_
_atom_site_label
_atom_site_fract_x
_atom_site_fract_y
_atom_site_fract_z
Dy1 0.0000 0.0000 0.0000
Dy2 0.0000 0.0000 0.1712
Sn1 0.0000 0.0000 0.7535
Bi1 0.0000 0.0000 0.5841

---

Record 15
# Dy7Sn5Bi, optimized geometry, DFT PBE
# VASP energy, hartree per atom: -0.17692
data_Dy7Sn5Bi
_chemical_formula_sum 'Dy14 Sn10 Bi2'
_cell_length_a 6.230
_cell_length_b 11.297
_cell_length_c 10.579
_cell_angle_alpha 90.00
_cell_angle_beta 90.00
_cell_angle_gamma 90.00
_symmetry_space_group_name_H-M 'I m m 2'
_symmetry_Int_Tables_number 44
loop_
_symmetry_equiv_pos_as_xyz
'x,y,z'
'-x,-y,z'
'-x,y,z'
'x,-y,z'
'x+1/2,y+1/2,z+1/2'
'-x+1/2,-y+1/2,z+1/2'
'-x+1/2,y+1/2,z+1/2'
'x+1/2,-y+1/2,z+1/2'
loop_
_atom_site_label
_atom_site_fract_x
_atom_site_fract_y
_atom_site_fract_z
Dy1 0.000 0.000 0.000
Dy2 0.000 0.000 0.389
Dy3 0.000 0.333 0.615
Dy4 0.000 0.336 0.101
Dy5 0.000 0.500 0.352
Sn1 0.000 0.500 0.856
Sn2 0.249 0.256 0.360
Bi1 0.000 0.000 0.682

---

Record 16
# Dy8Sn2Bi, optimized geometry, DFT PBE
# VASP energy, hartree per atom: -0.17651
data_Dy8Sn2Bi
_chemical_formula_sum 'Dy16 Sn4 Bi2'
_cell_length_a 19.810
_cell_length_b 4.951
_cell_length_c 7.010
_cell_angle_alpha 90.00
_cell_angle_beta 102.18
_cell_angle_gamma 90.00
_symmetry_space_group_name_H-M 'C 1 2/m 1'
_symmetry_Int_Tables_number 12
loop_
_symmetry_equiv_pos_as_xyz
'x,y,z'
'-x,-y,-z'
'-x,y,-z'
'x,-y,z'
'x+1/2,y+1/2,z'
'-x+1/2,-y+1/2,-z'
'-x+1/2,y+1/2,-z'
'x+1/2,-y+1/2,z'
loop_
_atom_site_label
_atom_site_fract_x
_atom_site_fract_y
_atom_site_fract_z
Dy1 0.025 0.000 0.256
Dy2 0.096 0.500 0.988
Dy3 0.161 0.500 0.511
Dy4 0.218 0.000 0.837
Sn1 0.183 0.000 0.264
Bi1 0.000 0.500 0.500

---

Record 17
# Dy2SnBi, optimized geometry, DFT PBE
# VASP energy, hartree per atom: -0.18219
data_Dy2SnBi
_chemical_formula_sum 'Dy6 Sn3 Bi3'
_cell_length_a 4.2970
_cell_length_b 4.2970
_cell_length_c 23.0627
_cell_angle_alpha 90.00
_cell_angle_beta 90.00
_cell_angle_gamma 120.00
_symmetry_space_group_name_H-M 'R -3 m'
_symmetry_Int_Tables_number 166
_symmetry_space_group_name_Hall '-R 3 2"'
loop_
_atom_site_label
_atom_site_fract_x
_atom_site_fract_y
_atom_site_fract_z
Dy1 0.0000 0.0000 0.2500
Sn1 0.0000 0.0000 0.0000
Bi1 0.0000 0.0000 0.5000

---

Record 18
# DySn4Bi, optimized geometry, DFT PBE
# VASP energy, hartree per atom: -0.15392
data_DySn4Bi
_chemical_formula_sum 'Dy4 Sn16 Bi4'
_cell_length_a 8.765
_cell_length_b 8.765
_cell_length_c 8.765
_cell_angle_alpha 90.00
_cell_angle_beta 90.00
_cell_angle_gamma 90.00
_symmetry_space_group_name_H-M 'F -4 3 m'
_symmetry_Int_Tables_number 216
_symmetry_space_group_name_Hall 'F -4 2 3'
loop_
_atom_site_label
_atom_site_fract_x
_atom_site_fract_y
_atom_site_fract_z
Dy1 0.000 0.000 0.000
Sn1 0.125 0.125 0.625
Bi1 0.250 0.250 0.250

---

Record 19
# Dy7Sn2Bi2, optimized geometry, DFT PBE
# VASP energy, hartree per atom: -0.16945
data_Dy7Sn2Bi2
_chemical_formula_sum 'Dy14 Sn4 Bi4'
_cell_length_a 8.510
_cell_length_b 11.004
_cell_length_c 7.546
_cell_angle_alpha 90.00
_cell_angle_beta 90.00
_cell_angle_gamma 90.00
_symmetry_space_group_name_H-M 'C m m m'
_symmetry_Int_Tables_number 65
_symmetry_space_group_name_Hall '-C 2 2'
loop_
_atom_site_label
_atom_site_fract_x
_atom_site_fract_y
_atom_site_fract_z
Dy1 0.000 0.000 0.000
Dy2 0.000 0.500 0.273
Dy3 0.250 0.250 0.287
Sn1 0.179 0.000 0.500
Bi1 0.000 0.284 0.000

---

Record 20
# Dy2SnBi3, optimized geometry, DFT PBE
# VASP energy, hartree per atom: -0.16817
data_Dy2SnBi3
_chemical_formula_sum 'Dy4 Sn2 Bi6'
_cell_length_a 4.396
_cell_length_b 6.420
_cell_length_c 13.893
_cell_angle_alpha 90.00
_cell_angle_beta 90.00
_cell_angle_gamma 90.00
_symmetry_space_group_name_H-M 'I m m m'
_symmetry_Int_Tables_number 71
_symmetry_space_group_name_Hall '-I 2 2'
loop_
_atom_site_label
_atom_site_fract_x
_atom_site_fract_y
_atom_site_fract_z
Dy1 0.000 0.000 0.164
Sn1 0.000 0.000 0.500
Bi1 0.000 0.500 0.171
Bi2 0.000 0.500 0.500

---

Record 21
# Dy6SnBi2Te3, optimized geometry, DFT PBE
# VASP energy, hartree per atom: -0.18938
data_Dy6SnBi2Te3
_chemical_formula_sum 'Dy12 Sn2 Bi4 Te6'
_cell_length_a 19.223
_cell_length_b 4.420
_cell_length_c 8.810
_cell_angle_alpha 90.00
_cell_angle_beta 102.93
_cell_angle_gamma 90.00
_symmetry_space_group_name_H-M 'C 1 2/m 1'
_symmetry_Int_Tables_number 12
loop_
_symmetry_equiv_pos_as_xyz
'x,y,z'
'-x,-y,-z'
'-x,y,-z'
'x,-y,z'
'x+1/2,y+1/2,z'
'-x+1/2,-y+1/2,-z'
'-x+1/2,y+1/2,-z'
'x+1/2,-y+1/2,z'
loop_
_atom_site_label
_atom_site_fract_x
_atom_site_fract_y
_atom_site_fract_z
Dy1 0.000 0.000 0.238
Dy2 0.161 0.500 0.081
Dy3 0.166 0.500 0.582
Sn1 0.000 0.500 0.000
Bi1 0.167 0.000 0.334
Te1 0.000 0.500 0.500
Te2 0.169 0.000 0.834

---

Record 22
# Dy6Sn2BiTe3, optimized geometry, DFT PBE
# VASP energy, hartree per atom: -0.18931
data_Dy6Sn2BiTe3
_chemical_formula_sum 'Dy12 Sn4 Bi2 Te6'
_cell_length_a 19.176
_cell_length_b 4.406
_cell_length_c 8.814
_cell_angle_alpha 90.00
_cell_angle_beta 103.08
_cell_angle_gamma 90.00
_symmetry_space_group_name_H-M 'C 1 2/m 1'
_symmetry_Int_Tables_number 12
loop_
_symmetry_equiv_pos_as_xyz
'x,y,z'
'-x,-y,-z'
'-x,y,-z'
'x,-y,z'
'x+1/2,y+1/2,z'
'-x+1/2,-y+1/2,-z'
'-x+1/2,y+1/2,-z'
'x+1/2,-y+1/2,z'
loop_
_atom_site_label
_atom_site_fract_x
_atom_site_fract_y
_atom_site_fract_z
Dy1 0.005 0.000 0.251
Dy2 0.167 0.500 0.095
Dy3 0.170 0.500 0.576
Sn1 0.167 0.000 0.334
Bi1 0.000 0.500 0.000
Te1 0.000 0.500 0.500
Te2 0.165 0.000 0.834

---

Record 23
# Sr2DyThBi4, optimized geometry, DFT PBE
# VASP energy, hartree per atom: -0.17044
data_Sr2DyThBi4
_chemical_formula_sum 'Sr2 Dy1 Th1 Bi4'
_cell_length_a 8.022
_cell_length_b 4.659
_cell_length_c 8.294
_cell_angle_alpha 90.00
_cell_angle_beta 109.03
_cell_angle_gamma 90.00
_symmetry_space_group_name_H-M 'P 1 2/m 1'
_symmetry_Int_Tables_number 10
loop_
_symmetry_equiv_pos_as_xyz
'x,y,z'
'-x,-y,-z'
'-x,y,-z'
'x,-y,z'
loop_
_atom_site_label
_atom_site_fract_x
_atom_site_fract_y
_atom_site_fract_z
Sr1 0.000 0.000 0.000
Sr2 0.500 0.500 0.000
Dy1 0.000 0.500 0.500
Th1 0.500 0.000 0.500
Bi1 0.239 0.000 0.728
Bi2 0.253 0.500 0.269

---

Record 24
# Sr4DyTh3Bi8, optimized geometry, DFT PBE
# VASP energy, hartree per atom: -0.17716
data_Sr4DyTh3Bi8
_chemical_formula_sum 'Sr12 Dy3 Th9 Bi24'
_cell_length_a 9.3610
_cell_length_b 9.3610
_cell_length_c 23.4167
_cell_angle_alpha 90.00
_cell_angle_beta 90.00
_cell_angle_gamma 120.00
_symmetry_space_group_name_H-M 'R -3 m'
_symmetry_Int_Tables_number 166
_symmetry_space_group_name_Hall '-R 3 2"'
loop_
_atom_site_label
_atom_site_fract_x
_atom_site_fract_y
_atom_site_fract_z
Sr1 0.0000 0.0000 0.0000
Sr2 0.0000 0.5000 0.0000
Dy1 0.0000 0.0000 0.5000
Th1 0.0000 0.5000 0.5000
Bi1 0.0000 0.0000 0.2443
Bi2 0.0030 0.5015 0.2434